Compound: BeSi2Ag
Source: Alexandria
Functional: meta-GGA SCAN
Structure: PBEsol geometry

It has space group P4/mmm (No. 123), with a = 4.7648 Å, b = 4.7648 Å, c = 2.5780 Å, α = 90.00°, β = 90.00° and γ = 90.00°. The inequivalent atoms are Be at (0.0000, 0.0000, 0.0000), Si at (0.0000, 0.5000, 0.5000) and Ag at (0.5000, 0.5000, 0.0000).

As for the density of states at the Fermi level: 1.4 states/eV/f.u. The total energy is -0.9751 Ry/atom. Its crystal system is tetragonal. The uncorrected formation energy comes out at 671 meV per atom.